Computed, not measured: crystalline PaFeHg at its relaxed geometry at the GGA-PBE level of DFT.

Lattice parameters (Å, degrees): 6.3470 6.3470 6.3470 90.00 90.00 90.00
Space group F-43m (No. 216)
Unique sites:
Pa 0.0000 0.0000 0.0000 x4
Fe 0.2500 0.2500 0.2500 x4
Hg 0.0000 0.0000 0.5000 x4

Summary:
ΔE_f: 0.267 eV per atom

=====

Computed, not measured: crystalline PaFeHg at its relaxed geometry at the GGA-PBE level of DFT.

Lattice parameters (Å, degrees): 6.6282 6.6282 6.6282 90.00 90.00 90.00
Space group F-43m (No. 216)
Unique sites:
Pa 0.0000 0.0000 0.0000 x4
Fe 0.2500 0.2500 0.7500 x4
Hg 0.2500 0.2500 0.2500 x4

Summary:
ΔE_f: 0.947 eV per atom

=====

Computed, not measured: crystalline FeHgPtPb at its relaxed geometry at the GGA-PBE level of DFT.

Lattice parameters (Å, degrees): 6.7290 6.7290 6.7290 90.00 90.00 90.00
Space group F-43m (No. 216)
Unique sites:
Fe 0.0000 0.0000 0.0000 x4
Hg 0.2500 0.2500 0.2500 x4
Pt 0.0000 0.0000 0.5000 x4
Pb 0.2500 0.2500 0.7500 x4

Summary:
uncorrected energy: -68.3 eV for the cell shown

=====

Computed, not measured: crystalline FeHgPbS3 at its relaxed geometry at the GGA-PBE level of DFT.

Lattice parameters (Å, degrees): 3.5713 16.7119 8.9916 90.00 90.00 90.00
Space group Cmcm (No. 63)
Unique sites:
Fe 0.0000 0.0000 0.0000 x4
Hg 0.0000 0.3104 0.2500 x4
Pb 0.0000 0.3428 0.7500 x4
S 0.0000 0.0344 0.2500 x4
S 0.0000 0.4145 0.0312 x8

Summary:
uncorrected energy: -102.9 eV for the cell shown

=====

Computed, not measured: crystalline FeHgPbS3 at its relaxed geometry at the GGA-PBE level of DFT.

Lattice parameters (Å, degrees): 3.9022 12.6096 11.2653 90.00 90.00 90.00
Space group Cmcm (No. 63)
Unique sites:
Fe 0.0000 0.0331 0.2500 x4
Hg 0.0000 0.5000 0.0000 x4
Pb 0.0000 0.2583 0.7500 x4
S 0.0000 0.1341 0.0835 x8
S 0.0000 0.4291 0.2500 x4

Summary:
uncorrected energy: -102.7 eV for the cell shown

=====

Computed, not measured: crystalline FeTcHgPb at its relaxed geometry at the GGA-PBE level of DFT.

Lattice parameters (Å, degrees): 6.5922 6.5922 6.5922 90.00 90.00 90.00
Space group F-43m (No. 216)
Unique sites:
Fe 0.0000 0.0000 0.0000 x4
Tc 0.0000 0.0000 0.5000 x4
Hg 0.2500 0.2500 0.2500 x4
Pb 0.2500 0.2500 0.7500 x4

Summary:
uncorrected energy: -79.1 eV for the cell shown

=====

Computed, not measured: crystalline FeHgPbW at its relaxed geometry at the GGA-PBE level of DFT.

Lattice parameters (Å, degrees): 6.6697 6.6697 6.6697 90.00 90.00 90.00
Space group F-43m (No. 216)
Unique sites:
Fe 0.0000 0.0000 0.0000 x4
Hg 0.0000 0.0000 0.5000 x4
Pb 0.2500 0.2500 0.7500 x4
W 0.2500 0.2500 0.2500 x4

Summary:
uncorrected energy: -81.9 eV for the cell shown

=====

Computed, not measured: crystalline FeHgPbW at its relaxed geometry at the GGA-PBE level of DFT.

Lattice parameters (Å, degrees): 6.6613 6.6613 6.6613 90.00 90.00 90.00
Space group F-43m (No. 216)
Unique sites:
Fe 0.0000 0.0000 0.0000 x4
Hg 0.2500 0.2500 0.2500 x4
Pb 0.2500 0.2500 0.7500 x4
W 0.0000 0.0000 0.5000 x4

Summary:
uncorrected energy: -84.3 eV for the cell shown